Record 1
## Pu2Ge4PdAu3 (PBE)

Data for a geometry-optimized Pu2Ge4PdAu3 structure.

## Properties
Space-group type: P-4m2, No. 115
M_tot in μB per formula unit: 10.99

a = 4.3354 Å, b = 4.3354 Å, c = 10.8894 Å
α = 90.00°, β = 90.00°, γ = 90.00°
With the nearest neighbours (Å) after each atom.
Atoms (fractional coordinates):
1 Pu 0.5000 0.0000 0.2606  8 Ge 3.28-3.57, 6 Au 3.34-3.39, 2 Pd 3.39
2 Pu 0.0000 0.5000 0.7394  8 Ge 3.28-3.57, 6 Au 3.34-3.39, 2 Pd 3.39
3 Ge 0.5000 0.0000 0.6310  3 Au 2.50-2.60, 2 Pd 2.60
4 Ge 0.0000 0.0000 0.0000  4 Au 2.65
5 Ge 0.0000 0.5000 0.3690  3 Au 2.50-2.60, 2 Pd 2.60
6 Ge 0.5000 0.5000 0.0000  4 Au 2.65
7 Au 0.5000 0.0000 0.8608  5 Ge 2.50-2.65
8 Au 0.0000 0.5000 0.1392  5 Ge 2.50-2.65
9 Au 0.0000 0.0000 0.5000  4 Ge 2.60
10 Pd 0.5000 0.5000 0.5000  4 Ge 2.60



Record 2
## PmTm3Th4S8 (PBE)

Data for a geometry-optimized PmTm3Th4S8 structure.

## Properties
Space-group type: R-3m, No. 166
M_tot in μB per formula unit: 0.00
Energy relative to the elements, uncorrected in meV per atom: -1893

a = 7.7887 Å, b = 8.0894 Å, c = 7.7882 Å
α = 118.77°, β = 120.00°, γ = 90.00°
With the nearest neighbours (Å) after each atom.
Atoms (fractional coordinates):
1 Th 0.0000 0.0000 0.5000  6 S 2.90
2 Th 0.0000 0.0000 0.0000  6 S 2.90
3 Th 0.5000 0.0000 0.0000  6 S 2.83
4 Th 0.5000 0.0000 0.5000  6 S 2.90
5 S 0.2484 0.7333 0.4968  2 Tm 2.72, 1 Pm 2.79, 3 Th 2.83-2.90
6 S 0.7516 0.2667 0.5032  2 Tm 2.72, 1 Pm 2.79, 3 Th 2.83-2.90
7 S 0.2573 0.2719 0.5146  3 Tm 2.72, 3 Th 2.90
8 S 0.2635 0.2668 0.0151  2 Tm 2.72, 1 Pm 2.79, 3 Th 2.83-2.90
9 S 0.7427 0.7281 0.4854  3 Tm 2.72, 3 Th 2.90
10 S 0.7365 0.7332 0.9849  2 Tm 2.72, 1 Pm 2.79, 3 Th 2.83-2.90
11 S 0.7516 0.2668 0.0151  2 Tm 2.72, 1 Pm 2.79, 3 Th 2.83-2.90
12 S 0.2484 0.7332 0.9849  2 Tm 2.72, 1 Pm 2.79, 3 Th 2.83-2.90
13 Tm 0.5000 0.5000 0.0000  6 S 2.72
14 Tm 0.5000 0.5000 0.5000  6 S 2.72
15 Tm 0.0000 0.5000 0.5000  6 S 2.72
16 Pm 0.0000 0.5000 0.0000  6 S 2.79



no.,VASP energy (eV per atom)
1,-6.5759
2,-6.9474